No. 1
Compound: Pr4Dy4Tm5
Source: the Alexandria database
Functional: GGA-PBE
Structure: optimized geometry

Unit cell a=9.469 b=9.469 c=9.469 alpha=94.06 beta=94.06 gamma=149.13
Sites, in units of the cell vectors:
Pr1 0.079 0.619 0.698
Pr2 0.381 0.079 0.461
Pr3 0.619 0.921 0.539
Pr4 0.921 0.381 0.302
Dy1 0.153 0.228 0.381
Dy2 0.228 0.847 0.076
Dy3 0.772 0.153 0.924
Dy4 0.847 0.772 0.619
Tm1 0.000 0.000 0.000
Tm2 0.312 0.461 0.773
Tm3 0.461 0.688 0.149
Tm4 0.539 0.312 0.851
Tm5 0.688 0.539 0.227

## Properties
**Energy of formation from the pure elements**: 0.03 eV/atom
**Crystal system**: tetragonal
**Energy**: -4.5810 eV per atom

No. 2
Compound: Cs3Cu2Br2Cl4
Source: the Alexandria database
Functional: GGA-PBE
Structure: optimized geometry

Unit cell a=14.905 b=14.905 c=14.905 alpha=160.92 beta=160.92 gamma=27.11
Sites, in units of the cell vectors:
Cs1 0.000 0.000 0.000
Cs2 0.177 0.177 0.000
Cs3 0.823 0.823 0.000
Cu1 0.397 0.397 0.000
Cu2 0.603 0.603 0.000
Br1 0.309 0.309 0.000
Br2 0.691 0.691 0.000
Cl1 0.087 0.587 0.500
Cl2 0.413 0.913 0.500
Cl3 0.587 0.087 0.500
Cl4 0.913 0.413 0.500

## Properties
**Crystal system**: tetragonal
**Energy**: -3.1809 eV per atom
**Energy relative to the elements, uncorrected**: -1.228 eV per atom

No. 3
Compound: SiIN2
Source: the Alexandria database
Functional: GGA-PBE
Structure: optimized geometry

Unit cell a=5.176 b=5.176 c=8.511 alpha=90.00 beta=90.00 gamma=90.00
Sites, in units of the cell vectors:
Si1 0.000 0.000 0.000
Si2 0.000 0.500 0.250
Si3 0.500 0.000 0.750
Si4 0.500 0.500 0.500
I1 0.000 0.000 0.500
I2 0.000 0.500 0.750
I3 0.500 0.000 0.250
I4 0.500 0.500 0.000
N1 0.096 0.250 0.125
N2 0.250 0.596 0.375
N3 0.250 0.904 0.875
N4 0.404 0.250 0.625
N5 0.596 0.750 0.625
N6 0.750 0.096 0.875
N7 0.750 0.404 0.375
N8 0.904 0.750 0.125

## Properties
**Distance to the lowest polymorph of the same formula**: 44 meV per atom
**Crystal system**: tetragonal
**Energy**: -5.4791 eV per atom
**Energy relative to the elements, uncorrected**: 0.427 eV per atom

No. 4
Compound: La3ZrAl
Source: the Alexandria database
Functional: GGA-PBE
Structure: optimized geometry

Unit cell a=5.760 b=5.760 c=5.760 alpha=90.00 beta=90.00 gamma=90.00
Sites, in units of the cell vectors:
La1 0.000 0.000 0.500
La2 0.000 0.500 0.000
La3 0.500 0.000 0.000
Zr1 0.500 0.500 0.500
Al1 0.000 0.000 0.000

## Properties
**Distance to the lowest polymorph of the same formula**: 99 meV per atom
**Energy of formation from the pure elements**: 0.63 eV/atom
**Crystal system**: cubic
**Energy**: -4.7875 eV per atom

No. 5
Compound: DyTmCoHg
Source: the Alexandria database
Functional: GGA-PBE
Structure: optimized geometry

Unit cell a=7.057 b=7.057 c=7.057 alpha=90.00 beta=90.00 gamma=90.00
Sites, in units of the cell vectors:
Dy1 0.000 0.000 0.000
Dy2 0.000 0.500 0.500
Dy3 0.500 0.000 0.500
Dy4 0.500 0.500 0.000
Tm1 0.000 0.000 0.500
Tm2 0.000 0.500 0.000
Tm3 0.500 0.000 0.000
Tm4 0.500 0.500 0.500
Co1 0.250 0.250 0.250
Co2 0.250 0.750 0.750
Co3 0.750 0.250 0.750
Co4 0.750 0.750 0.250
Hg1 0.250 0.250 0.750
Hg2 0.250 0.750 0.250
Hg3 0.750 0.250 0.250
Hg4 0.750 0.750 0.750

## Properties
**Distance to the lowest polymorph of the same formula**: 109 meV per atom
**Energy of formation from the pure elements**: -0.24 eV/atom
**Crystal system**: cubic
**Energy**: -4.3618 eV per atom

No. 6
Compound: PrErSi2
Source: the Alexandria database
Functional: GGA-PBE
Structure: optimized geometry

Unit cell a=3.888 b=4.380 c=10.769 alpha=90.00 beta=90.00 gamma=90.00
Sites, in units of the cell vectors:
Pr1 0.000 0.000 0.000
Pr2 0.000 0.500 0.500
Er1 0.500 0.000 0.280
Er2 0.500 0.500 0.780
Si1 0.000 0.000 0.718
Si2 0.000 0.500 0.218
Si3 0.500 0.000 0.570
Si4 0.500 0.500 0.070

## Properties
**Distance to the lowest polymorph of the same formula**: 0 meV per atom
**Crystal system**: orthorhombic
**Energy**: -5.8003 eV per atom
**Energy relative to the elements, uncorrected**: -0.753 eV per atom

No. 7
Compound: PaTe2Au
Source: the Alexandria database
Functional: GGA-PBE
Structure: optimized geometry

Unit cell a=7.409 b=7.409 c=7.409 alpha=90.00 beta=90.00 gamma=90.00
Sites, in units of the cell vectors:
Pa1 0.000 0.000 0.000
Pa2 0.000 0.500 0.500
Pa3 0.500 0.000 0.500
Pa4 0.500 0.500 0.000
Te1 0.250 0.250 0.250
Te2 0.250 0.250 0.750
Te3 0.250 0.750 0.250
Te4 0.250 0.750 0.750
Te5 0.750 0.250 0.250
Te6 0.750 0.250 0.750
Te7 0.750 0.750 0.250
Te8 0.750 0.750 0.750
Au1 0.000 0.000 0.500
Au2 0.000 0.500 0.000
Au3 0.500 0.000 0.000
Au4 0.500 0.500 0.500

## Properties
**Distance to the lowest polymorph of the same formula**: 189 meV per atom
**Crystal system**: cubic
**Energy**: -5.1762 eV per atom
**Energy relative to the elements, uncorrected**: -0.412 eV per atom

No. 8
Compound: ZrBePb2
Source: the Alexandria database
Functional: GGA-PBE
Structure: optimized geometry

Unit cell a=4.035 b=4.191 c=5.840 alpha=90.00 beta=110.11 gamma=90.00
Sites, in units of the cell vectors:
Zr1 0.000 0.000 0.000
Be1 0.152 0.500 0.306
Pb1 0.436 0.500 0.873
Pb2 0.720 0.000 0.440

## Properties
**Energy of formation from the pure elements**: 0.22 eV/atom
**Crystal system**: monoclinic
**Energy**: -4.6990 eV per atom

No. 9
Compound: Sr2Ni4Sn3Sb
Source: the Alexandria database
Functional: GGA-PBE
Structure: optimized geometry

Unit cell a=4.535 b=4.535 c=10.367 alpha=90.00 beta=90.00 gamma=90.00
Sites, in units of the cell vectors:
Sr1 0.000 0.500 0.243
Sr2 0.500 0.000 0.757
Ni1 0.000 0.000 0.000
Ni2 0.000 0.500 0.627
Ni3 0.500 0.000 0.373
Ni4 0.500 0.500 0.000
Sn1 0.000 0.500 0.881
Sn2 0.500 0.000 0.119
Sn3 0.500 0.500 0.500
Sb1 0.000 0.000 0.500

## Properties
**Crystal system**: tetragonal
**Energy**: -4.6889 eV per atom
**Energy relative to the elements, uncorrected**: -0.427 eV per atom

No. 10
Compound: SmUS3
Source: the Alexandria database
Functional: GGA-PBE
Structure: optimized geometry

Unit cell a=7.429 b=3.915 c=15.310 alpha=90.00 beta=90.00 gamma=90.00
Sites, in units of the cell vectors:
Sm1 0.110 0.250 0.208
Sm2 0.390 0.750 0.708
Sm3 0.610 0.250 0.292
Sm4 0.890 0.750 0.792
U1 0.238 0.750 0.462
U2 0.262 0.250 0.962
U3 0.738 0.750 0.038
U4 0.762 0.250 0.538
S1 0.010 0.250 0.399
S2 0.123 0.750 0.069
S3 0.169 0.250 0.782
S4 0.331 0.750 0.282
S5 0.377 0.250 0.569
S6 0.490 0.750 0.899
S7 0.510 0.250 0.101
S8 0.623 0.750 0.431
S9 0.669 0.250 0.718
S10 0.831 0.750 0.218
S11 0.877 0.250 0.931
S12 0.990 0.750 0.601

## Properties
**Distance to the lowest polymorph of the same formula**: 0 meV per atom
**Crystal system**: orthorhombic
**Energy**: -7.4146 eV per atom
**Energy relative to the elements, uncorrected**: -1.737 eV per atom

No. 11
Compound: FeRu2Cl
Source: the Alexandria database
Functional: GGA-PBE
Structure: optimized geometry

Unit cell a=2.824 b=2.859 c=7.562 alpha=90.00 beta=90.00 gamma=90.00
Sites, in units of the cell vectors:
Fe1 0.000 0.000 0.000
Ru1 0.000 0.000 0.458
Ru2 0.500 0.500 0.241
Cl1 0.500 0.000 0.743

## Properties
**Distance to the lowest polymorph of the same formula**: 0 meV per atom
**Crystal system**: orthorhombic
**Energy**: -6.9115 eV per atom
**Energy relative to the elements, uncorrected**: 0.304 eV per atom

No. 12
Compound: Pm3Y5Bi8
Source: the Alexandria database
Functional: GGA-PBE
Structure: optimized geometry

Unit cell a=9.036 b=9.036 c=9.036 alpha=60.06 beta=60.06 gamma=60.06
Sites, in units of the cell vectors:
Pm1 0.000 0.500 0.500
Pm2 0.500 0.000 0.500
Pm3 0.500 0.500 0.000
Y1 0.000 0.000 0.000
Y2 0.000 0.000 0.500
Y3 0.000 0.500 0.000
Y4 0.500 0.000 0.000
Y5 0.500 0.500 0.500
Bi1 0.246 0.750 0.750
Bi2 0.248 0.248 0.248
Bi3 0.250 0.250 0.754
Bi4 0.250 0.754 0.250
Bi5 0.750 0.246 0.750
Bi6 0.750 0.750 0.246
Bi7 0.752 0.752 0.752
Bi8 0.754 0.250 0.250

## Properties
**Energy of formation from the pure elements**: -0.91 eV/atom
**Crystal system**: trigonal
**Energy**: -5.7626 eV per atom

No. 13
Compound: In3Ga13
Source: the Alexandria database
Functional: GGA-PBE
Structure: optimized geometry

Unit cell a=6.221 b=8.325 c=6.377 alpha=90.00 beta=97.40 gamma=90.00
Sites, in units of the cell vectors:
In1 0.000 0.000 0.000
In2 0.326 0.279 0.797
In3 0.326 0.721 0.797
Ga1 0.021 0.500 0.494
Ga2 0.079 0.000 0.527
Ga3 0.125 0.500 0.089
Ga4 0.304 0.220 0.303
Ga5 0.304 0.780 0.303
Ga6 0.521 0.000 0.058
Ga7 0.525 0.500 0.476
Ga8 0.594 0.000 0.605
Ga9 0.661 0.500 0.075
Ga10 0.782 0.224 0.314
Ga11 0.782 0.776 0.314
Ga12 0.820 0.300 0.775
Ga13 0.820 0.700 0.775

## Properties
**Energy of formation from the pure elements**: 0.03 eV/atom
**Crystal system**: monoclinic
**Energy**: -2.9433 eV per atom

No. 14
Compound: In2IrPt
Source: the Alexandria database
Functional: GGA-PBE
Structure: optimized geometry

Unit cell a=4.185 b=4.185 c=18.302 alpha=90.00 beta=90.00 gamma=90.00
Sites, in units of the cell vectors:
In1 0.246 0.250 0.125
In2 0.250 0.746 0.375
In3 0.250 0.754 0.875
In4 0.254 0.250 0.625
In5 0.746 0.750 0.625
In6 0.750 0.246 0.875
In7 0.750 0.254 0.375
In8 0.754 0.750 0.125
Ir1 0.000 0.000 0.000
Ir2 0.000 0.500 0.250
Ir3 0.500 0.000 0.750
Ir4 0.500 0.500 0.500
Pt1 0.000 0.000 0.500
Pt2 0.000 0.500 0.750
Pt3 0.500 0.000 0.250
Pt4 0.500 0.500 0.000

## Properties
**Distance to the lowest polymorph of the same formula**: 424 meV per atom
**Energy of formation from the pure elements**: 0.20 eV/atom
**Crystal system**: tetragonal
**Energy**: -4.8928 eV per atom

No. 15
Compound: GaH2Rh2
Source: the Alexandria database
Functional: GGA-PBE
Structure: optimized geometry

Unit cell a=3.012 b=3.012 c=10.678 alpha=90.00 beta=90.00 gamma=90.00
Sites, in units of the cell vectors:
Ga1 0.000 0.000 0.000
Ga2 0.500 0.500 0.500
H1 0.000 0.500 0.250
H2 0.000 0.500 0.750
H3 0.500 0.000 0.250
H4 0.500 0.000 0.750
Rh1 0.000 0.000 0.358
Rh2 0.000 0.000 0.642
Rh3 0.500 0.500 0.142
Rh4 0.500 0.500 0.858

## Properties
**Distance to the lowest polymorph of the same formula**: 0 meV per atom
**Crystal system**: tetragonal
**Energy**: -5.1833 eV per atom

No. 16
Compound: Ca3TbSb2P
Source: the Alexandria database
Functional: GGA-PBE
Structure: optimized geometry

Unit cell a=5.186 b=5.294 c=16.252 alpha=90.00 beta=90.00 gamma=90.00
Sites, in units of the cell vectors:
Ca1 0.000 0.000 0.000
Ca2 0.000 0.500 0.325
Ca3 0.000 0.500 0.675
Ca4 0.500 0.000 0.175
Ca5 0.500 0.000 0.825
Ca6 0.500 0.500 0.500
Tb1 0.000 0.000 0.500
Tb2 0.500 0.500 0.000
Sb1 0.000 0.500 0.133
Sb2 0.000 0.500 0.867
Sb3 0.500 0.000 0.367
Sb4 0.500 0.000 0.633
P1 0.000 0.500 0.500
P2 0.500 0.000 0.000

## Properties
**Crystal system**: orthorhombic
**Energy**: -4.5016 eV per atom
**Energy relative to the elements, uncorrected**: -1.032 eV per atom

No. 17
Compound: NaGeBi
Source: the Alexandria database
Functional: GGA-PBE
Structure: optimized geometry

Unit cell a=4.316 b=6.295 c=7.132 alpha=85.61 beta=72.75 gamma=70.46
Sites, in units of the cell vectors:
Na1 0.231 0.209 0.327
Na2 0.769 0.791 0.673
Ge1 0.099 0.781 0.021
Ge2 0.901 0.219 0.979
Bi1 0.462 0.340 0.732
Bi2 0.538 0.660 0.268

## Properties
**Distance to the lowest polymorph of the same formula**: 17 meV per atom
**Energy of formation from the pure elements**: -0.09 eV/atom
**Crystal system**: triclinic
**Energy**: -3.3578 eV per atom

No. 18
Compound: AcPm2MgIn4
Source: the Alexandria database
Functional: GGA-PBE
Structure: optimized geometry

Unit cell a=10.361 b=10.361 c=10.361 alpha=29.43 beta=29.43 gamma=29.43
Sites, in units of the cell vectors:
Ac1 0.000 0.000 0.000
Pm1 0.233 0.233 0.233
Pm2 0.767 0.767 0.767
Mg1 0.500 0.500 0.500
In1 0.126 0.126 0.126
In2 0.390 0.390 0.390
In3 0.610 0.610 0.610
In4 0.874 0.874 0.874

## Properties
**Energy of formation from the pure elements**: -0.37 eV/atom
**Crystal system**: trigonal
**Energy**: -3.6384 eV per atom

No. 19
Compound: CeBHPt6
Source: the Alexandria database
Functional: GGA-PBE
Structure: optimized geometry

Unit cell a=7.501 b=7.501 c=7.501 alpha=124.80 beta=117.09 gamma=88.50
Sites, in units of the cell vectors:
Ce1 0.335 0.085 0.250
Ce2 0.665 0.915 0.750
B1 0.000 0.500 0.500
B2 0.500 0.500 0.000
H1 0.000 0.000 0.500
H2 0.000 0.500 0.000
Pt1 0.044 0.794 0.250
Pt2 0.101 0.390 0.240
Pt3 0.101 0.861 0.711
Pt4 0.337 0.587 0.750
Pt5 0.349 0.139 0.740
Pt6 0.349 0.610 0.211
Pt7 0.651 0.390 0.789
Pt8 0.651 0.861 0.260
Pt9 0.663 0.413 0.250
Pt10 0.899 0.139 0.289
Pt11 0.899 0.610 0.760
Pt12 0.956 0.206 0.750

## Properties
**Crystal system**: orthorhombic
**Energy**: -6.2184 eV per atom

No. 20
Compound: Zn2ReSiPb
Source: the Alexandria database
Functional: GGA-PBE
Structure: optimized geometry

Unit cell a=5.008 b=5.008 c=5.533 alpha=90.00 beta=90.00 gamma=90.00
Sites, in units of the cell vectors:
Zn1 0.000 0.500 0.000
Zn2 0.500 0.000 0.000
Re1 0.000 0.000 0.500
Si1 0.500 0.500 0.500
Pb1 0.500 0.500 0.000

## Properties
**Crystal system**: tetragonal
**Energy**: -2.8594 eV per atom
**Energy relative to the elements, uncorrected**: 1.966 eV per atom